[1]
# AgP2Ru

A relaxed AgP2Ru crystal (GGA-PBE, the Alexandria database).

It has space group Fm-3m (No. 225), with a = 6.1551 Å, b = 6.1551 Å, c = 6.1551 Å, α = 90.00°, β = 90.00° and γ = 90.00°. The inequivalent atoms are Ag at (0.0000, 0.0000, 0.0000), P at (0.2500, 0.2500, 0.2500) and Ru at (0.0000, 0.0000, 0.5000).

The offset from the most stable computed form comes out at 346 meV per atom. The value obtained for the energy relative to the elements is 1.25 eV/f.u. For the total energy, the calculation gives -86.769 eV for the cell shown. The calculation puts the magnetic moment at 0.00 μB/cell.

***

[2]
# AgP3Ru

A relaxed AgP3Ru crystal (GGA-PBE, the Alexandria database).

It has space group Pm-3m (No. 221), with a = 4.6050 Å, b = 4.6050 Å, c = 4.6050 Å, α = 90.00°, β = 90.00° and γ = 90.00°. The inequivalent atoms are Ag at (0.0000, 0.0000, 0.0000), P at (0.0000, 0.5000, 0.5000) and Ru at (0.5000, 0.5000, 0.5000).

The offset from the most stable computed form comes out at 0 meV per atom. The value obtained for the energy relative to the elements is 3.48 eV/f.u. For the total energy, the calculation gives -24.876 eV for the cell shown. The calculation puts the magnetic moment at 0.00 μB/cell.

***

[3]
# Ag3PRu

A relaxed Ag3PRu crystal (GGA-PBE, the Alexandria database).

It has space group Pm-3m (No. 221), with a = 5.0275 Å, b = 5.0275 Å, c = 5.0275 Å, α = 90.00°, β = 90.00° and γ = 90.00°. The inequivalent atoms are Ag at (0.0000, 0.0000, 0.5000), P at (0.5000, 0.5000, 0.5000) and Ru at (0.0000, 0.0000, 0.0000).

The offset from the most stable computed form comes out at 734 meV per atom. The value obtained for the energy relative to the elements is 8.25 eV/f.u. For the total energy, the calculation gives -14.993 eV for the cell shown. The calculation puts the magnetic moment at 3.12 μB/cell.

***

[4]
# AgP2RuS

A relaxed AgP2RuS crystal (GGA-PBE, the Alexandria database).

It has space group P4/mmm (No. 123), with a = 4.7222 Å, b = 4.7222 Å, c = 4.7627 Å, α = 90.00°, β = 90.00° and γ = 90.00°. The inequivalent atoms are Ag at (0.0000, 0.0000, 0.0000), P at (0.0000, 0.5000, 0.0000), Ru at (0.5000, 0.5000, 0.5000) and S at (0.0000, 0.0000, 0.5000).

The offset from the most stable computed form comes out at 1021 meV per atom. For the total energy, the calculation gives -19.073 eV for the cell shown. The value obtained for the formation energy (no corrections) is 1600.3 meV/atom. The calculation puts the magnetic moment at 2.00 μB/cell.

***

[5]
# AgP2RuS

A relaxed AgP2RuS crystal (GGA-PBE, the Alexandria database).

It has space group P4/mmm (No. 123), with a = 4.4108 Å, b = 4.4108 Å, c = 5.3448 Å, α = 90.00°, β = 90.00° and γ = 90.00°. The inequivalent atoms are Ag at (0.0000, 0.0000, 0.0000), P at (0.0000, 0.5000, 0.5000), Ru at (0.5000, 0.5000, 0.5000) and S at (0.5000, 0.5000, 0.0000).

The offset from the most stable computed form comes out at 0 meV per atom. For the total energy, the calculation gives -24.178 eV for the cell shown. The value obtained for the formation energy (no corrections) is 579.3 meV/atom. The calculation puts the magnetic moment at 0.00 μB/cell.

***

[6]
# ScAgP2Ru

A relaxed ScAgP2Ru crystal (GGA-PBE, the Alexandria database).

It has space group P4/mmm (No. 123), with a = 4.6243 Å, b = 4.6243 Å, c = 4.9783 Å, α = 90.00°, β = 90.00° and γ = 90.00°. The inequivalent atoms are Sc at (0.0000, 0.0000, 0.0000), Ag at (0.0000, 0.0000, 0.5000), P at (0.0000, 0.5000, 0.5000) and Ru at (0.5000, 0.5000, 0.0000).

The value obtained for the energy relative to the elements is 6.33 eV/f.u. For the total energy, the calculation gives -22.953 eV for the cell shown. The calculation puts the magnetic moment at 0.04 μB/cell.

***

Q: magnetic moment of number 1 (AgP2Ru)?
A: 0.00 μB/cell

***

Q: What is the magnetic moment in the fourth record?
A: 2.00 μB/cell

***

Q: Which value of magnetic moment does entry 5 give?
A: 0.00 μB/cell

***

Copy entry 4 word for word.
# AgP2RuS

A relaxed AgP2RuS crystal (GGA-PBE, the Alexandria database).

It has space group P4/mmm (No. 123), with a = 4.7222 Å, b = 4.7222 Å, c = 4.7627 Å, α = 90.00°, β = 90.00° and γ = 90.00°. The inequivalent atoms are Ag at (0.0000, 0.0000, 0.0000), P at (0.0000, 0.5000, 0.0000), Ru at (0.5000, 0.5000, 0.5000) and S at (0.0000, 0.0000, 0.5000).

The offset from the most stable computed form comes out at 1021 meV per atom. For the total energy, the calculation gives -19.073 eV for the cell shown. The value obtained for the formation energy (no corrections) is 1600.3 meV/atom. The calculation puts the magnetic moment at 2.00 μB/cell.